Cs2PClF5 | GGA-PBE | relaxed

Cell: 6.634 6.634 6.634 Å, 118.19 118.19 93.16°
Fractional coordinates of all 9 atoms:
1 Cs 0.000 0.500 0.500
2 Cs 0.500 0.000 0.500
3 P 0.254 0.254 0.000
4 Cl 0.572 0.572 0.000
5 F 0.070 0.070 0.640
6 F 0.070 0.430 0.000
7 F 0.073 0.073 0.000
8 F 0.430 0.070 0.000
9 F 0.430 0.430 0.360

The uncorrected formation energy comes out at -21.12 eV per formula unit. Its space group is I4mm.


Cs2PaF8 | GGA-PBE | relaxed

Cell: 7.474 7.474 9.930 Å, 101.83 101.83 32.20°
Fractional coordinates of all 11 atoms:
1 Cs 0.230 0.230 0.238
2 Cs 0.770 0.770 0.762
3 Pa 0.000 0.000 0.500
4 F 0.032 0.032 0.304
5 F 0.153 0.153 0.549
6 F 0.260 0.260 0.964
7 F 0.444 0.444 0.393
8 F 0.556 0.556 0.607
9 F 0.740 0.740 0.036
10 F 0.847 0.847 0.451
11 F 0.968 0.968 0.696

The uncorrected formation energy comes out at -34.13 eV per formula unit. Its space group is C2/m. The relative energy among the computed polymorphs is 0.0 meV per atom.


NbVTc | GGA-PBE | relaxed

Cell: 4.144 4.144 11.055 Å, 90.00 90.00 120.00°
Fractional coordinates of all 9 atoms:
1 Nb 0.000 0.000 0.000
2 Nb 0.333 0.667 0.667
3 Nb 0.667 0.333 0.333
4 V 0.000 0.000 0.503
5 V 0.333 0.667 0.170
6 V 0.667 0.333 0.837
7 Tc 0.000 0.000 0.756
8 Tc 0.333 0.667 0.423
9 Tc 0.667 0.333 0.089

The value obtained for the formation energy is 0.442 eV/atom. Its space group is R3m. The relative energy among the computed polymorphs is 698.4 meV per atom.


Number 1: total moment 1.00 μB per formula unit, ρ 3.35 Mg/m³. Number 2: total moment 1.00 μB per formula unit, ρ 3.73 Mg/m³. Number 3: total moment 0.00 μB per formula unit, ρ 7.33 Mg/m³.